# 1
! Hf4BeAl (PBE-GGA, optimized geometry); values from VASP
! Crystal system: tetragonal
! Size of the total moment, μB per cell: 0.00
! Uncorrected energy, eV per atom: -8.018
! Volume, Å³/atom: 19.0
! Formation energy, kJ/mol of formula units: -79.5
&SYSTEM
  ibrav = 0, nat = 12, ntyp = 3
/
ATOMIC_SPECIES
Hf 178.49 Hf.upf
Be 9.01 Be.upf
Al 26.98 Al.upf
ATOMIC_POSITIONS crystal
Hf 0.144 0.337 0.000
Hf 0.144 0.663 0.500
Hf 0.337 0.144 0.500
Hf 0.337 0.856 0.000
Hf 0.663 0.144 0.000
Hf 0.663 0.856 0.500
Hf 0.856 0.337 0.500
Hf 0.856 0.663 0.000
Be 0.000 0.000 0.250
Be 0.000 0.000 0.750
Al 0.500 0.500 0.250
Al 0.500 0.500 0.750
CELL_PARAMETERS angstrom
6.795 0.000 0.000
0.000 6.795 0.000
0.000 0.000 4.936

---

# 2
! HfBe3Al (PBE-GGA, optimized geometry); values from VASP
! Crystal system: cubic
! Size of the total moment, μB per cell: 0.00
! Uncorrected energy, eV per atom: -4.234
! Volume, Å³/atom: 14.1
! Energy relative to the lowest polymorph listed for this composition, eV/f.u.: 0.00
! Formation energy, kJ/mol of formula units: 357.5
&SYSTEM
  ibrav = 0, nat = 5, ntyp = 3
/
ATOMIC_SPECIES
Hf 178.49 Hf.upf
Be 9.01 Be.upf
Al 26.98 Al.upf
ATOMIC_POSITIONS crystal
Hf 0.000 0.000 0.000
Be 0.000 0.500 0.500
Be 0.500 0.000 0.500
Be 0.500 0.500 0.000
Al 0.500 0.500 0.500
CELL_PARAMETERS angstrom
4.134 0.000 0.000
0.000 4.134 0.000
0.000 0.000 4.134

---

# 3
! Hf2Be2Al (PBE-GGA, optimized geometry); values from VASP
! Crystal system: tetragonal
! Size of the total moment, μB per cell: 0.00
! Uncorrected energy, eV per atom: -6.547
! Volume, Å³/atom: 15.3
! Energy relative to the lowest polymorph listed for this composition, eV/f.u.: 0.00
! Formation energy, kJ/mol of formula units: -157.6
&SYSTEM
  ibrav = 0, nat = 10, ntyp = 3
/
ATOMIC_SPECIES
Hf 178.49 Hf.upf
Be 9.01 Be.upf
Al 26.98 Al.upf
ATOMIC_POSITIONS crystal
Hf 0.170 0.330 0.000
Hf 0.330 0.830 0.000
Hf 0.670 0.170 0.000
Hf 0.830 0.670 0.000
Be 0.122 0.622 0.500
Be 0.378 0.122 0.500
Be 0.622 0.878 0.500
Be 0.878 0.378 0.500
Al 0.000 0.000 0.500
Al 0.500 0.500 0.500
CELL_PARAMETERS angstrom
6.290 0.000 0.000
0.000 6.290 0.000
0.000 0.000 3.872

---

# 4
! Hf2Be2Al (PBE-GGA, optimized geometry); values from VASP
! Crystal system: orthorhombic
! Size of the total moment, μB per cell: 0.00
! Uncorrected energy, eV per atom: -6.490
! Volume, Å³/atom: 15.3
! Energy relative to the lowest polymorph listed for this composition, eV/f.u.: 0.29
! Formation energy, kJ/mol of formula units: -130.0
&SYSTEM
  ibrav = 0, nat = 5, ntyp = 3
/
ATOMIC_SPECIES
Hf 178.49 Hf.upf
Be 9.01 Be.upf
Al 26.98 Al.upf
ATOMIC_POSITIONS crystal
Hf 0.211 0.211 0.000
Hf 0.789 0.789 0.000
Be 0.200 0.500 0.700
Be 0.800 0.500 0.300
Al 0.500 0.000 0.500
CELL_PARAMETERS angstrom
-1.780 2.610 4.116
1.780 -2.610 4.116
1.780 2.610 -4.116

---

# 5
! Hf2Be2Al3 (PBE-GGA, optimized geometry); values from VASP
! Crystal system: orthorhombic
! Size of the total moment, μB per cell: 0.00
! Uncorrected energy, eV per atom: -5.773
! Volume, Å³/atom: 15.7
! Formation energy, kJ/mol of formula units: -176.1
&SYSTEM
  ibrav = 0, nat = 7, ntyp = 3
/
ATOMIC_SPECIES
Hf 178.49 Hf.upf
Be 9.01 Be.upf
Al 26.98 Al.upf
ATOMIC_POSITIONS crystal
Hf 0.167 0.833 0.000
Hf 0.833 0.167 0.000
Be 0.284 0.716 0.500
Be 0.716 0.284 0.500
Al 0.000 0.000 0.000
Al 0.422 0.578 0.500
Al 0.578 0.422 0.500
CELL_PARAMETERS angstrom
1.930 -8.820 0.000
1.930 8.820 0.000
0.000 0.000 3.227

---

# 6
! HfBe3Al (PBE-GGA, optimized geometry); values from VASP
! Crystal system: cubic
! Size of the total moment, μB per cell: 0.08
! Uncorrected energy, eV per atom: -3.229
! Volume, Å³/atom: 20.0
! Energy relative to the lowest polymorph listed for this composition, eV/f.u.: 5.02
! Formation energy, kJ/mol of formula units: 842.1
&SYSTEM
  ibrav = 0, nat = 5, ntyp = 3
/
ATOMIC_SPECIES
Hf 178.49 Hf.upf
Be 9.01 Be.upf
Al 26.98 Al.upf
ATOMIC_POSITIONS crystal
Hf 0.000 0.000 0.000
Be 0.000 0.000 0.500
Be 0.000 0.500 0.000
Be 0.500 0.000 0.000
Al 0.500 0.500 0.500
CELL_PARAMETERS angstrom
4.642 0.000 0.000
0.000 4.642 0.000
0.000 0.000 4.642

---

# 7
! HfBeAl (PBE-GGA, optimized geometry); values from VASP
! Crystal system: cubic
! Size of the total moment, μB per cell: 0.00
! Uncorrected energy, eV per atom: -5.842
! Volume, Å³/atom: 16.1
! Energy relative to the lowest polymorph listed for this composition, eV/f.u.: 0.88
! Formation energy, kJ/mol of formula units: -9.9
&SYSTEM
  ibrav = 0, nat = 12, ntyp = 3
/
ATOMIC_SPECIES
Hf 178.49 Hf.upf
Be 9.01 Be.upf
Al 26.98 Al.upf
ATOMIC_POSITIONS crystal
Hf 0.149 0.149 0.149
Hf 0.351 0.851 0.649
Hf 0.649 0.351 0.851
Hf 0.851 0.649 0.351
Be 0.030 0.530 0.970
Be 0.470 0.470 0.470
Be 0.530 0.970 0.030
Be 0.970 0.030 0.530
Al 0.165 0.335 0.665
Al 0.335 0.665 0.165
Al 0.665 0.165 0.335
Al 0.835 0.835 0.835
CELL_PARAMETERS angstrom
5.781 0.000 0.000
0.000 5.781 0.000
0.000 0.000 5.781

---

# 8
! HfBeAl (PBE-GGA, optimized geometry); values from VASP
! Crystal system: orthorhombic
! Size of the total moment, μB per cell: 0.00
! Uncorrected energy, eV per atom: -6.122
! Volume, Å³/atom: 15.2
! Energy relative to the lowest polymorph listed for this composition, eV/f.u.: 0.04
! Formation energy, kJ/mol of formula units: -91.0
&SYSTEM
  ibrav = 0, nat = 18, ntyp = 3
/
ATOMIC_SPECIES
Hf 178.49 Hf.upf
Be 9.01 Be.upf
Al 26.98 Al.upf
ATOMIC_POSITIONS crystal
Hf 0.047 0.000 0.228
Hf 0.250 0.000 0.852
Hf 0.453 0.000 0.228
Hf 0.547 0.000 0.772
Hf 0.750 0.000 0.148
Hf 0.953 0.000 0.772
Be 0.088 0.500 0.942
Be 0.250 0.000 0.443
Be 0.412 0.500 0.942
Be 0.588 0.500 0.058
Be 0.750 0.000 0.557
Be 0.912 0.500 0.058
Al 0.124 0.500 0.570
Al 0.250 0.500 0.194
Al 0.376 0.500 0.570
Al 0.624 0.500 0.430
Al 0.750 0.500 0.806
Al 0.876 0.500 0.430
CELL_PARAMETERS angstrom
11.341 0.000 0.000
0.000 3.745 0.000
0.000 0.000 6.444

---

# 9
! HfBeAl (PBE-GGA, optimized geometry); values from VASP
! Crystal system: tetragonal
! Size of the total moment, μB per cell: 0.00
! Uncorrected energy, eV per atom: -5.430
! Volume, Å³/atom: 17.1
! Energy relative to the lowest polymorph listed for this composition, eV/f.u.: 2.11
! Formation energy, kJ/mol of formula units: 109.2
&SYSTEM
  ibrav = 0, nat = 3, ntyp = 3
/
ATOMIC_SPECIES
Hf 178.49 Hf.upf
Be 9.01 Be.upf
Al 26.98 Al.upf
ATOMIC_POSITIONS crystal
Hf 0.000 0.000 0.000
Be 0.351 0.351 0.000
Al 0.655 0.655 0.000
CELL_PARAMETERS angstrom
-1.805 1.805 3.930
1.805 -1.805 3.930
1.805 1.805 -3.930

---

# 10
! HfBeAl2 (PBE-GGA, optimized geometry); values from VASP
! Crystal system: trigonal
! Size of the total moment, μB per cell: 0.00
! Uncorrected energy, eV per atom: -5.352
! Volume, Å³/atom: 16.1
! Formation energy, kJ/mol of formula units: -23.5
&SYSTEM
  ibrav = 0, nat = 4, ntyp = 3
/
ATOMIC_SPECIES
Hf 178.49 Hf.upf
Be 9.01 Be.upf
Al 26.98 Al.upf
ATOMIC_POSITIONS crystal
Hf 0.000 0.000 0.000
Be 0.500 0.500 0.500
Al 0.215 0.215 0.215
Al 0.785 0.785 0.785
CELL_PARAMETERS angstrom
1.990 1.149 4.688
-1.990 1.149 4.688
0.000 -2.298 4.688

---

# 11
! Hf3Be4Al2 (PBE-GGA, optimized geometry); values from VASP
! Crystal system: monoclinic
! Size of the total moment, μB per cell: 0.00
! Uncorrected energy, eV per atom: -6.072
! Volume, Å³/atom: 14.7
! Formation energy, kJ/mol of formula units: -231.1
&SYSTEM
  ibrav = 0, nat = 9, ntyp = 3
/
ATOMIC_SPECIES
Hf 178.49 Hf.upf
Be 9.01 Be.upf
Al 26.98 Al.upf
ATOMIC_POSITIONS crystal
Hf 0.000 0.000 0.000
Hf 0.346 0.346 0.320
Hf 0.654 0.654 0.680
Be 0.064 0.064 0.407
Be 0.273 0.273 0.949
Be 0.727 0.727 0.051
Be 0.936 0.936 0.593
Al 0.371 0.371 0.708
Al 0.629 0.629 0.292
CELL_PARAMETERS angstrom
4.753 -1.982 0.000
4.753 1.982 0.000
-3.001 0.000 7.018

---

# 12
! HfBeAl2Hg (PBE-GGA, optimized geometry); values from VASP
! Crystal system: tetragonal
! Size of the total moment, μB per cell: 0.00
! Uncorrected energy, eV per atom: -3.089
! Volume, Å³/atom: 24.6
! Formation energy, kJ/mol of formula units: 580.9
&SYSTEM
  ibrav = 0, nat = 5, ntyp = 4
/
ATOMIC_SPECIES
Hf 178.49 Hf.upf
Be 9.01 Be.upf
Al 26.98 Al.upf
Hg 200.59 Hg.upf
ATOMIC_POSITIONS crystal
Hf 0.000 0.000 0.000
Be 0.500 0.500 0.000
Al 0.000 0.500 0.500
Al 0.500 0.000 0.500
Hg 0.000 0.000 0.500
CELL_PARAMETERS angstrom
4.761 0.000 0.000
0.000 4.761 0.000
0.000 0.000 5.417

---

# 13
! HfBeAl2I (PBE-GGA, optimized geometry); values from VASP
! Energy relative to the elements, uncorrected, eV/atom: 1.77
! Crystal system: tetragonal
! Size of the total moment, μB per cell: 0.00
! Uncorrected energy, eV per atom: -2.776
! Volume, Å³/atom: 29.4
&SYSTEM
  ibrav = 0, nat = 5, ntyp = 4
/
ATOMIC_SPECIES
Hf 178.49 Hf.upf
Be 9.01 Be.upf
Al 26.98 Al.upf
I 126.90 I.upf
ATOMIC_POSITIONS crystal
Hf 0.000 0.000 0.000
Be 0.500 0.500 0.000
Al 0.000 0.500 0.500
Al 0.500 0.000 0.500
I 0.000 0.000 0.500
CELL_PARAMETERS angstrom
5.265 0.000 0.000
0.000 5.265 0.000
0.000 0.000 5.310

---

# 14
! Hf2BeAlIr2 (PBE-GGA, optimized geometry); values from VASP
! Crystal system: orthorhombic
! Size of the total moment, μB per cell: 0.00
! Uncorrected energy, eV per atom: -8.290
! Volume, Å³/atom: 16.3
! Formation energy, kJ/mol of formula units: -447.6
&SYSTEM
  ibrav = 0, nat = 12, ntyp = 4
/
ATOMIC_SPECIES
Hf 178.49 Hf.upf
Be 9.01 Be.upf
Al 26.98 Al.upf
Ir 192.22 Ir.upf
ATOMIC_POSITIONS crystal
Hf 0.176 0.199 0.375
Hf 0.324 0.699 0.023
Hf 0.676 0.301 0.977
Hf 0.824 0.801 0.625
Be 0.250 0.750 0.500
Be 0.750 0.250 0.500
Al 0.250 0.250 0.000
Al 0.750 0.750 0.000
Ir 0.125 0.700 0.825
Ir 0.375 0.200 0.575
Ir 0.625 0.800 0.425
Ir 0.875 0.300 0.175
CELL_PARAMETERS angstrom
-2.680 6.875 2.653
2.680 -6.875 2.653
2.680 6.875 -2.653

---

# 15
! HfBeAlIr (PBE-GGA, optimized geometry); values from VASP
! Crystal system: cubic
! Size of the total moment, μB per cell: 0.00
! Uncorrected energy, eV per atom: -7.187
! Volume, Å³/atom: 14.9
! Formation energy, kJ/mol of formula units: -238.0
&SYSTEM
  ibrav = 0, nat = 4, ntyp = 4
/
ATOMIC_SPECIES
Hf 178.49 Hf.upf
Be 9.01 Be.upf
Al 26.98 Al.upf
Ir 192.22 Ir.upf
ATOMIC_POSITIONS crystal
Hf 0.000 0.000 0.000
Be 0.250 0.250 0.250
Al 0.500 0.500 0.500
Ir 0.750 0.750 0.750
CELL_PARAMETERS angstrom
0.000 3.099 3.099
3.099 0.000 3.099
3.099 3.099 0.000

---

# 16
! KHf2BeAl (PBE-GGA, optimized geometry); values from VASP
! Crystal system: tetragonal
! Size of the total moment, μB per cell: 0.00
! Uncorrected energy, eV per atom: -3.496
! Volume, Å³/atom: 21.2
! Energy relative to the lowest polymorph listed for this composition, eV/f.u.: 5.32
! Formation energy, kJ/mol of formula units: 1060.7
&SYSTEM
  ibrav = 0, nat = 5, ntyp = 4
/
ATOMIC_SPECIES
K 39.10 K.upf
Hf 178.49 Hf.upf
Be 9.01 Be.upf
Al 26.98 Al.upf
ATOMIC_POSITIONS crystal
K 0.000 0.000 0.000
Hf 0.000 0.500 0.000
Hf 0.500 0.000 0.000
Be 0.000 0.000 0.500
Al 0.500 0.500 0.500
CELL_PARAMETERS angstrom
4.917 0.000 0.000
0.000 4.917 0.000
0.000 0.000 4.383

---

# 17
! KHf2BeAl (PBE-GGA, optimized geometry); values from VASP
! Crystal system: tetragonal
! Size of the total moment, μB per cell: 0.00
! Uncorrected energy, eV per atom: -4.561
! Volume, Å³/atom: 24.6
! Energy relative to the lowest polymorph listed for this composition, eV/f.u.: 0.00
! Formation energy, kJ/mol of formula units: 547.0
&SYSTEM
  ibrav = 0, nat = 5, ntyp = 4
/
ATOMIC_SPECIES
K 39.10 K.upf
Hf 178.49 Hf.upf
Be 9.01 Be.upf
Al 26.98 Al.upf
ATOMIC_POSITIONS crystal
K 0.000 0.000 0.000
Hf 0.000 0.500 0.500
Hf 0.500 0.000 0.500
Be 0.500 0.500 0.000
Al 0.500 0.500 0.500
CELL_PARAMETERS angstrom
5.226 0.000 0.000
0.000 5.226 0.000
0.000 0.000 4.508

---

# 18
! LiHfBe2Al (PBE-GGA, optimized geometry); values from VASP
! Crystal system: tetragonal
! Size of the total moment, μB per cell: 0.96
! Uncorrected energy, eV per atom: -2.980
! Volume, Å³/atom: 21.7
! Formation energy, kJ/mol of formula units: 787.5
&SYSTEM
  ibrav = 0, nat = 5, ntyp = 4
/
ATOMIC_SPECIES
Li 6.94 Li.upf
Hf 178.49 Hf.upf
Be 9.01 Be.upf
Al 26.98 Al.upf
ATOMIC_POSITIONS crystal
Li 0.000 0.000 0.000
Hf 0.000 0.000 0.500
Be 0.000 0.500 0.500
Be 0.500 0.000 0.500
Al 0.500 0.500 0.000
CELL_PARAMETERS angstrom
4.691 0.000 0.000
0.000 4.691 0.000
0.000 0.000 4.933

---

# 19
! Hf2Mn5Be2Al (PBE-GGA, optimized geometry); values from VASP
! Crystal system: tetragonal
! Size of the total moment, μB per cell: 20.06
! Uncorrected energy, eV per atom: -7.864
! Volume, Å³/atom: 13.2
! Formation energy, kJ/mol of formula units: -162.8
&SYSTEM
  ibrav = 0, nat = 20, ntyp = 4
/
ATOMIC_SPECIES
Hf 178.49 Hf.upf
Mn 54.94 Mn.upf
Be 9.01 Be.upf
Al 26.98 Al.upf
ATOMIC_POSITIONS crystal
Hf 0.175 0.325 0.000
Hf 0.325 0.825 0.000
Hf 0.675 0.175 0.000
Hf 0.825 0.675 0.000
Mn 0.000 0.500 0.500
Mn 0.069 0.787 0.500
Mn 0.213 0.069 0.500
Mn 0.287 0.569 0.500
Mn 0.431 0.287 0.500
Mn 0.500 0.000 0.500
Mn 0.569 0.713 0.500
Mn 0.713 0.431 0.500
Mn 0.787 0.931 0.500
Mn 0.931 0.213 0.500
Be 0.119 0.619 0.000
Be 0.381 0.119 0.000
Be 0.619 0.881 0.000
Be 0.881 0.381 0.000
Al 0.000 0.000 0.000
Al 0.500 0.500 0.000
CELL_PARAMETERS angstrom
8.939 0.000 0.000
0.000 8.939 0.000
0.000 0.000 3.309

---

# 20
! NaHfBeAl2 (PBE-GGA, optimized geometry); values from VASP
! Crystal system: tetragonal
! Size of the total moment, μB per cell: 0.00
! Uncorrected energy, eV per atom: -4.156
! Volume, Å³/atom: 18.8
! Formation energy, kJ/mol of formula units: 164.5
&SYSTEM
  ibrav = 0, nat = 5, ntyp = 4
/
ATOMIC_SPECIES
Na 22.99 Na.upf
Hf 178.49 Hf.upf
Be 9.01 Be.upf
Al 26.98 Al.upf
ATOMIC_POSITIONS crystal
Na 0.000 0.000 0.000
Hf 0.500 0.500 0.000
Be 0.500 0.500 0.500
Al 0.000 0.500 0.500
Al 0.500 0.000 0.500
CELL_PARAMETERS angstrom
4.451 0.000 0.000
0.000 4.451 0.000
0.000 0.000 4.744